# Ac7TcSn4 (PBE, optimized geometry)
# **Formation energy**: -6.1 kcal/mol of atoms
# **Space-group type**: C2/m, No. 12
# **Calculated volume**: 466 Å³ per cell
data_Ac7TcSn4
_chemical_formula_sum 'Ac7 Tc1 Sn4'
_symmetry_space_group_name_H-M 'P 1'
_symmetry_Int_Tables_number 1
_cell_length_a 5.608
_cell_length_b 10.323
_cell_length_c 8.898
_cell_angle_alpha 77.95
_cell_angle_beta 71.63
_cell_angle_gamma 74.24
loop_
_symmetry_equiv_pos_as_xyz
'x,y,z'
loop_
_atom_site_label
_atom_site_fract_x
_atom_site_fract_y
_atom_site_fract_z
_atom_site_occupancy
Sn1 0.420 0.775 0.386 1
Sn2 0.722 0.653 0.903 1
Sn3 0.580 0.225 0.614 1
Sn4 0.278 0.347 0.097 1
Ac1 0.500 0.000 0.000 1
Ac2 0.642 0.451 0.265 1
Ac3 0.069 0.730 0.132 1
Ac4 0.221 0.128 0.429 1
Ac5 0.779 0.872 0.571 1
Ac6 0.358 0.549 0.735 1
Ac7 0.931 0.270 0.868 1
Tc1 0.000 0.000 0.000 1

=====

# Cs2CaCuI6 (PBE, optimized geometry)
# **Space-group type**: I4/mmm, No. 139
# **Formation energy from raw total energies**: -1.069 eV per atom
# **Calculated volume**: 442 Å³ per cell
data_Cs2CaCuI6
_chemical_formula_sum 'Cs2 Ca1 Cu1 I6'
_symmetry_space_group_name_H-M 'P 1'
_symmetry_Int_Tables_number 1
_cell_length_a 8.229
_cell_length_b 8.229
_cell_length_c 8.747
_cell_angle_alpha 61.94
_cell_angle_beta 61.94
_cell_angle_gamma 90.00
loop_
_symmetry_equiv_pos_as_xyz
'x,y,z'
loop_
_atom_site_label
_atom_site_fract_x
_atom_site_fract_y
_atom_site_fract_z
_atom_site_occupancy
I1 0.229 0.229 0.000 1
I2 0.771 0.229 0.000 1
I3 0.229 0.771 0.000 1
I4 0.266 0.266 0.468 1
I5 0.734 0.734 0.532 1
I6 0.771 0.771 0.000 1
Cs1 0.250 0.750 0.500 1
Cs2 0.750 0.250 0.500 1
Ca1 0.500 0.500 0.000 1
Cu1 0.000 0.000 0.000 1

=====

# Cu3TcP (PBE, optimized geometry)
# **Distance to the lowest polymorph of the same formula**: 0.000 eV per atom
# **Formation energy**: 16.5 kcal/mol of atoms
# **Space-group type**: Pm-3m, No. 221
# **Calculated volume**: 77 Å³ per cell
data_Cu3TcP
_chemical_formula_sum 'Cu3 Tc1 P1'
_symmetry_space_group_name_H-M 'P 1'
_symmetry_Int_Tables_number 1
_cell_length_a 4.263
_cell_length_b 4.263
_cell_length_c 4.263
_cell_angle_alpha 90.00
_cell_angle_beta 90.00
_cell_angle_gamma 90.00
loop_
_symmetry_equiv_pos_as_xyz
'x,y,z'
loop_
_atom_site_label
_atom_site_fract_x
_atom_site_fract_y
_atom_site_fract_z
_atom_site_occupancy
Cu1 0.000 0.000 0.500 1
Cu2 0.500 0.000 0.000 1
Cu3 0.000 0.500 0.000 1
P1 0.000 0.000 0.000 1
Tc1 0.500 0.500 0.500 1

=====

# SrAcCuAs (PBE, optimized geometry)
# **Formation energy**: -12.5 kcal/mol of atoms
# **Space-group type**: F-43m, No. 216
# **Calculated volume**: 111 Å³ per cell
data_SrAcCuAs
_chemical_formula_sum 'Sr1 Ac1 Cu1 As1'
_symmetry_space_group_name_H-M 'P 1'
_symmetry_Int_Tables_number 1
_cell_length_a 5.392
_cell_length_b 5.392
_cell_length_c 5.392
_cell_angle_alpha 60.00
_cell_angle_beta 60.00
_cell_angle_gamma 60.00
loop_
_symmetry_equiv_pos_as_xyz
'x,y,z'
loop_
_atom_site_label
_atom_site_fract_x
_atom_site_fract_y
_atom_site_fract_z
_atom_site_occupancy
As1 0.750 0.750 0.750 1
Ac1 0.000 0.000 0.000 1
Sr1 0.500 0.500 0.500 1
Cu1 0.250 0.250 0.250 1

=====

# TlZn2BiS (PBE, optimized geometry)
# **Space-group type**: P4/mmm, No. 123
# **Formation energy from raw total energies**: 0.629 eV per atom
# **Calculated volume**: 149 Å³ per cell
data_TlZn2BiS
_chemical_formula_sum 'Tl1 Zn2 Bi1 S1'
_symmetry_space_group_name_H-M 'P 1'
_symmetry_Int_Tables_number 1
_cell_length_a 4.932
_cell_length_b 6.145
_cell_length_c 4.932
_cell_angle_alpha 90.00
_cell_angle_beta 90.00
_cell_angle_gamma 90.00
loop_
_symmetry_equiv_pos_as_xyz
'x,y,z'
loop_
_atom_site_label
_atom_site_fract_x
_atom_site_fract_y
_atom_site_fract_z
_atom_site_occupancy
Tl1 0.000 0.000 0.000 1
Zn1 0.500 0.000 0.000 1
Zn2 0.000 0.000 0.500 1
S1 0.500 0.500 0.500 1
Bi1 0.000 0.500 0.000 1

=====

# Li4MgNp3N8 (PBE, optimized geometry)
# **Space-group type**: R-3m, No. 166
# **Formation energy from raw total energies**: -0.830 eV per atom
# **Calculated volume**: 196 Å³ per cell
data_Li4MgNp3N8
_chemical_formula_sum 'Li4 Mg1 Np3 N8'
_symmetry_space_group_name_H-M 'P 1'
_symmetry_Int_Tables_number 1
_cell_length_a 6.724
_cell_length_b 6.340
_cell_length_c 6.723
_cell_angle_alpha 122.02
_cell_angle_beta 120.00
_cell_angle_gamma 90.00
loop_
_symmetry_equiv_pos_as_xyz
'x,y,z'
loop_
_atom_site_label
_atom_site_fract_x
_atom_site_fract_y
_atom_site_fract_z
_atom_site_occupancy
N1 0.287 0.293 0.040 1
N2 0.262 0.285 0.524 1
N3 0.247 0.707 0.960 1
N4 0.753 0.293 0.040 1
N5 0.753 0.293 0.505 1
N6 0.247 0.707 0.495 1
N7 0.713 0.707 0.960 1
N8 0.738 0.715 0.476 1
Li1 0.500 0.000 0.000 1
Li2 0.500 0.000 0.500 1
Li3 0.000 0.000 0.500 1
Li4 0.000 0.000 0.000 1
Np1 0.000 0.500 0.500 1
Np2 0.500 0.500 0.000 1
Np3 0.500 0.500 0.500 1
Mg1 0.000 0.500 0.000 1

=====

# NaGaRu2S (PBE, optimized geometry)
# **Space-group type**: P4/mmm, No. 123
# **Formation energy from raw total energies**: 0.344 eV per atom
# **Calculated volume**: 91 Å³ per cell
data_NaGaRu2S
_chemical_formula_sum 'Na1 Ga1 Ru2 S1'
_symmetry_space_group_name_H-M 'P 1'
_symmetry_Int_Tables_number 1
_cell_length_a 4.364
_cell_length_b 4.795
_cell_length_c 4.364
_cell_angle_alpha 90.00
_cell_angle_beta 90.00
_cell_angle_gamma 90.00
loop_
_symmetry_equiv_pos_as_xyz
'x,y,z'
loop_
_atom_site_label
_atom_site_fract_x
_atom_site_fract_y
_atom_site_fract_z
_atom_site_occupancy
Ga1 0.500 0.500 0.500 1
Ru1 0.500 0.000 0.000 1
Ru2 0.000 0.000 0.500 1
Na1 0.000 0.500 0.000 1
S1 0.000 0.000 0.000 1

=====

# AlNiPb2 (PBE, optimized geometry)
# **Formation energy**: 6.4 kcal/mol of atoms
# **Space-group type**: C2/m, No. 12
# **Calculated volume**: 92 Å³ per cell
data_AlNiPb2
_chemical_formula_sum 'Al1 Ni1 Pb2'
_symmetry_space_group_name_H-M 'P 1'
_symmetry_Int_Tables_number 1
_cell_length_a 3.738
_cell_length_b 3.738
_cell_length_c 8.029
_cell_angle_alpha 78.25
_cell_angle_beta 78.25
_cell_angle_gamma 57.14
loop_
_symmetry_equiv_pos_as_xyz
'x,y,z'
loop_
_atom_site_label
_atom_site_fract_x
_atom_site_fract_y
_atom_site_fract_z
_atom_site_occupancy
Pb1 0.986 0.986 0.036 1
Pb2 0.514 0.514 0.464 1
Ni1 0.250 0.250 0.250 1
Al1 0.750 0.750 0.750 1